First-principles (PBE) data for crystalline Er7Ir2Pt2 at its relaxed geometry, as listed in the Alexandria database.

The structure belongs to space group Cmmm (No. 65); the cell edges are 8.4710, 10.1766 and 6.8269 Å and the angles 90.00°, 90.00° and 90.00°. The asymmetric unit holds Er at (0.0000, 0.0000, 0.0000), Er at (0.0000, 0.5000, 0.2532), Er at (0.2500, 0.2500, 0.2570), Ir at (0.0000, 0.2773, 0.0000) and Pt at (0.2336, 0.0000, 0.5000).

The calculated formation energy comes out at -778 kJ/mol of formula units. As for the calculated volume: 588.5 Å³/cell.

---

First-principles (PBE) data for crystalline LiCu2AgHg at its relaxed geometry, as listed in the Alexandria database.

The structure belongs to space group P4/mmm (No. 123); the cell edges are 4.8764, 4.8764 and 4.7217 Å and the angles 90.00°, 90.00° and 90.00°. The asymmetric unit holds Li at (0.0000, 0.0000, 0.0000), Cu at (0.0000, 0.5000, 0.5000), Ag at (0.5000, 0.5000, 0.0000) and Hg at (0.0000, 0.0000, 0.5000).

The calculated formation energy comes out at 298 kJ/mol of formula units. As for the calculated volume: 112.3 Å³/cell.

---

First-principles (PBE) data for crystalline ThTl2Se2I2 at its relaxed geometry, as listed in the Alexandria database.

The structure belongs to space group I4/mmm (No. 139); the cell edges are 5.7066, 5.7066 and 17.7204 Å and the angles 90.00°, 90.00° and 90.00°. The asymmetric unit holds Th at (0.0000, 0.0000, 0.0000), Tl at (0.0000, 0.0000, 0.3846), Se at (0.0000, 0.5000, 0.0000) and I at (0.0000, 0.0000, 0.1758).

The calculation puts the formation energy without anion corrections at -1.04 eV/atom. As for the calculated volume: 577.1 Å³/cell.

---

First-principles (PBE) data for crystalline KSr2Sn at its relaxed geometry, as listed in the Alexandria database.

The structure belongs to space group Cm (No. 8); the cell edges are 9.2949, 5.3692 and 9.1938 Å and the angles 90.00°, 109.62° and 90.00°. The asymmetric unit holds K at (0.0000, 0.0000, 0.0000), Sr at (0.0447, 0.5000, 0.6357), Sr at (0.2795, 0.5000, 0.3398) and Sn at (0.1606, 0.0000, 0.4832).

The calculated formation energy comes out at -98 kJ/mol of formula units. As for the calculated volume: 432.2 Å³/cell.

---

First-principles (PBE) data for crystalline Rb2AlCdCo at its relaxed geometry, as listed in the Alexandria database.

The structure belongs to space group P4/mmm (No. 123); the cell edges are 6.7482, 6.7482 and 4.9753 Å and the angles 90.00°, 90.00° and 90.00°. The asymmetric unit holds Rb at (0.0000, 0.5000, 0.0000), Al at (0.0000, 0.0000, 0.5000), Cd at (0.5000, 0.5000, 0.0000) and Co at (0.5000, 0.5000, 0.5000).

The calculated formation energy comes out at 445 kJ/mol of formula units. As for the calculated volume: 226.6 Å³/cell.

---

First-principles (PBE) data for crystalline TcHPd at its relaxed geometry, as listed in the Alexandria database.

The structure belongs to space group P1 (No. 1); the cell edges are 2.8218, 4.0735 and 5.7095 Å and the angles 87.57°, 89.99° and 89.96°. The asymmetric unit holds Tc at (0.0000, 0.0000, 0.0000), Tc at (0.4986, 0.4495, 0.2077), H at (0.5003, 0.9567, 0.7747), H at (0.9981, 0.7278, 0.2688), Pd at (0.9998, 0.0190, 0.4924) and Pd at (0.4995, 0.4921, 0.7321).

As for the calculated volume: 65.6 Å³/cell. The energy above the most stable polymorph in this dataset comes out at 0.116 eV/atom.

---

First-principles (PBE) data for crystalline Er3Si at its relaxed geometry, as listed in the Alexandria database.

The structure belongs to space group P-4m2 (No. 115); the cell edges are 3.9280, 3.9280 and 7.4311 Å and the angles 90.00°, 90.00° and 90.00°. The asymmetric unit holds Er at (0.0000, 0.0000, 0.0000), Er at (0.0000, 0.5000, 0.6491) and Si at (0.5000, 0.5000, 0.0000).

The calculation puts the formation energy without anion corrections at -0.07 eV/atom. As for the calculated volume: 114.7 Å³/cell. The energy above the most stable polymorph in this dataset comes out at 0.238 eV/atom.

---

First-principles (PBE) data for crystalline KMgIn2 at its relaxed geometry, as listed in the Alexandria database.

The structure belongs to space group C2/m (No. 12); the cell edges are 8.6896, 5.0212 and 6.9318 Å and the angles 90.00°, 114.76° and 90.00°. The asymmetric unit holds K at (0.0000, 0.0000, 0.0000), Mg at (0.0000, 0.5000, 0.5000) and In at (0.2058, 0.0000, 0.6173).

The calculated formation energy comes out at -18 kJ/mol of formula units. As for the calculated volume: 274.6 Å³/cell.